Entry 1:
Entry from Alexandria: a geometry-optimized SrCe2HoP4 structure (GGA-PBE).

Summary:
**SG**: P2/m (10)

a = 7.117 Å, b = 4.131 Å, c = 7.199 Å
α = 90.00°, β = 109.47°, γ = 90.00°
Element x y z (fractional)
Sr  0.000  0.000  0.000
Ce  0.500  0.000  0.500
Ce  0.500  0.500  0.000
Ho  0.000  0.500  0.500
P  0.254  0.000  0.740
P  0.267  0.500  0.268
P  0.733  0.500  0.732
P  0.746  0.000  0.260

Entry 2:
Entry from Alexandria: a geometry-optimized Tb2Ce3HoP6 structure (GGA-PBE).

Summary:
**SG**: C2/m (12)

a = 7.020 Å, b = 7.020 Å, c = 7.005 Å
α = 99.62°, β = 99.62°, γ = 120.01°
Element x y z (fractional)
Tb  0.167  0.833  0.000
Tb  0.833  0.167  0.000
Ce  0.000  0.000  0.500
Ce  0.333  0.667  0.500
Ce  0.667  0.333  0.500
Ho  0.500  0.500  0.000
P  0.086  0.418  0.753
P  0.251  0.251  0.248
P  0.418  0.086  0.753
P  0.582  0.914  0.247
P  0.749  0.749  0.752
P  0.914  0.582  0.247

Entry 3:
Entry from Alexandria: a geometry-optimized TbCe3Ho4P8 structure (GGA-PBE).

Summary:
**SG**: R-3m (166)

a = 8.048 Å, b = 8.048 Å, c = 8.048 Å
α = 60.09°, β = 60.09°, γ = 60.09°
Element x y z (fractional)
Tb  0.000  0.000  0.000
Ce  0.000  0.500  0.500
Ce  0.500  0.000  0.500
Ce  0.500  0.500  0.000
Ho  0.000  0.000  0.500
Ho  0.000  0.500  0.000
Ho  0.500  0.000  0.000
Ho  0.500  0.500  0.500
P  0.248  0.248  0.248
P  0.249  0.749  0.749
P  0.251  0.251  0.751
P  0.251  0.751  0.251
P  0.749  0.249  0.749
P  0.749  0.749  0.249
P  0.751  0.251  0.251
P  0.752  0.752  0.752

Calculated energy of formation from the pure elements (kJ per mole of atoms), listed in the same order as above: -134.65 -150.44 -151.83
Calculated magnetization (μB per cell), listed in the same order as above: 0.9 1.5 1.4
Calculated total energy (eV per atom), listed in the same order as above: -6.366 -6.901 -6.825